(1)
DFT (GGA-PBE) results for an optimized crystal structure of LaPm3Co8.

Cell lengths 5.153, 5.153, 8.928 Å; angles 73.23, 73.23, 60.00 degrees
Last column: magnetic moment on the atom in μB.
Atoms (fractional coordinates):
1 La 0.875 0.875 0.376  -0.21
2 Pm 0.375 0.375 0.874  -0.21
3 Pm 0.500 0.500 0.499  -0.22
4 Pm 0.000 0.000 0.001  -0.21
5 Co 0.438 0.940 0.185  0.98
6 Co 0.438 0.438 0.185  0.98
7 Co 0.938 0.938 0.690  1.04
8 Co 0.938 0.434 0.690  1.04
9 Co 0.688 0.688 0.937  1.04
10 Co 0.187 0.187 0.438  0.99
11 Co 0.940 0.438 0.185  0.98
12 Co 0.434 0.938 0.690  1.04

Total DFT energy (no corrections), Ry/atom: -0.470
ΔE_f, eV per atom: -0.056


(2)
DFT (GGA-PBE) results for an optimized crystal structure of Cs3NbBr6.

Cell lengths 8.551, 8.551, 8.551 Å; angles 60.00, 60.00, 90.00 degrees
Last column: magnetic moment on the atom in μB.
Atoms (fractional coordinates):
1 Cs 0.250 0.750 0.500  0.00
2 Cs 0.750 0.250 0.500  0.00
3 Cs 0.000 0.000 0.000  0.00
4 Nb 0.500 0.500 0.000  1.63
5 Br 0.719 0.719 0.561  0.00
6 Br 0.719 0.719 0.000  0.00
7 Br 0.719 0.281 0.000  0.00
8 Br 0.281 0.281 0.439  0.00
9 Br 0.281 0.719 0.000  0.00
10 Br 0.281 0.281 0.000  0.00

Total DFT energy (no corrections), Ry/atom: -0.267
Energy above the most stable polymorph in this dataset, kJ/mol of atoms: 2.63